<a>
Material: SmTm2Te
Method: DFT, PBE-GGA
State: optimized geometry

Structure (CIF):
```
data_SmTm2Te
_chemical_formula_sum 'Sm4 Tm8 Te4'
_space_group_name_H-M_alt 'C m c m'
_space_group_IT_number 63
_space_group_name_Hall '-C 2c 2'
_cell_length_a 3.9391
_cell_length_b 12.0988
_cell_length_c 9.7998
_cell_angle_alpha 90.00
_cell_angle_beta 90.00
_cell_angle_gamma 90.00
loop_
_atom_site_label
_atom_site_type_symbol
_atom_site_fract_x
_atom_site_fract_y
_atom_site_fract_z
Sm1 Sm 0.0000 0.0539 0.2500
Tm1 Tm 0.0000 0.3641 0.0347
Te1 Te 0.0000 0.2327 0.7500
```

***

<b>
Material: SmTm2Te
Method: DFT, PBE-GGA
State: optimized geometry

Structure (CIF):
```
data_SmTm2Te
_chemical_formula_sum 'Sm3 Tm6 Te3'
_space_group_name_H-M_alt 'R 3 m'
_space_group_IT_number 160
_space_group_name_Hall 'R 3 -2"'
_cell_length_a 3.8479
_cell_length_b 3.8479
_cell_length_c 29.4533
_cell_angle_alpha 90.00
_cell_angle_beta 90.00
_cell_angle_gamma 120.00
loop_
_atom_site_label
_atom_site_type_symbol
_atom_site_fract_x
_atom_site_fract_y
_atom_site_fract_z
Sm1 Sm 0.0000 0.0000 0.0000
Tm1 Tm 0.0000 0.0000 0.2380
Tm2 Tm 0.0000 0.0000 0.4282
Te1 Te 0.0000 0.0000 0.8333
```

***

Which of them is the most stable? Correct choice: <a>.

***

<a>
Material: SmTm2Te4
Method: DFT, PBE-GGA
State: optimized geometry

Structure (CIF):
```
data_SmTm2Te4
_chemical_formula_sum 'Sm2 Tm4 Te8'
_space_group_name_H-M_alt 'C 1 2/m 1'
_space_group_IT_number 12
_cell_length_a 16.4175
_cell_length_b 4.3378
_cell_length_c 7.5201
_cell_angle_alpha 90.00
_cell_angle_beta 116.88
_cell_angle_gamma 90.00
loop_
_space_group_symop_operation_xyz
'x,y,z'
'-x,-y,-z'
'-x,y,-z'
'x,-y,z'
'x+1/2,y+1/2,z'
'-x+1/2,-y+1/2,-z'
'-x+1/2,y+1/2,-z'
'x+1/2,-y+1/2,z'
loop_
_atom_site_label
_atom_site_type_symbol
_atom_site_fract_x
_atom_site_fract_y
_atom_site_fract_z
Sm1 Sm 0.0000 0.0000 0.0000
Tm1 Tm 0.2455 0.5000 0.7314
Te1 Te 0.1252 0.0000 0.4606
Te2 Te 0.1336 0.5000 0.9694
```

***

<b>
Material: SmTm2Te4
Method: DFT, PBE-GGA
State: optimized geometry

Structure (CIF):
```
data_SmTm2Te4
_chemical_formula_sum 'Sm4 Tm8 Te16'
_space_group_name_H-M_alt 'C m c m'
_space_group_IT_number 63
_space_group_name_Hall '-C 2c 2'
_cell_length_a 4.2511
_cell_length_b 14.2214
_cell_length_c 14.8578
_cell_angle_alpha 90.00
_cell_angle_beta 90.00
_cell_angle_gamma 90.00
loop_
_atom_site_label
_atom_site_type_symbol
_atom_site_fract_x
_atom_site_fract_y
_atom_site_fract_z
Sm1 Sm 0.0000 0.1267 0.2500
Tm1 Tm 0.0000 0.3688 0.0686
Te1 Te 0.0000 0.0000 0.0000
Te2 Te 0.0000 0.2758 0.6194
Te3 Te 0.0000 0.4621 0.2500
```

***

Which of them is the most stable? Correct choice: <a>.

***

<a>
Material: SmY2Te
Method: DFT, PBE-GGA
State: optimized geometry

Structure (CIF):
```
data_SmY2Te
_chemical_formula_sum 'Sm1 Y2 Te1'
_space_group_name_H-M_alt 'P 4/m m m'
_space_group_IT_number 123
_space_group_name_Hall '-P 4 2'
_cell_length_a 3.8796
_cell_length_b 3.8796
_cell_length_c 7.9758
_cell_angle_alpha 90.00
_cell_angle_beta 90.00
_cell_angle_gamma 90.00
loop_
_atom_site_label
_atom_site_type_symbol
_atom_site_fract_x
_atom_site_fract_y
_atom_site_fract_z
Sm1 Sm 0.0000 0.0000 0.0000
Y1 Y 0.5000 0.5000 0.2788
Te1 Te 0.0000 0.0000 0.5000
```

***

<b>
Material: SmY2Te
Method: DFT, PBE-GGA
State: optimized geometry

Structure (CIF):
```
data_SmY2Te
_chemical_formula_sum 'Sm3 Y6 Te3'
_space_group_name_H-M_alt 'R 3 m'
_space_group_IT_number 160
_space_group_name_Hall 'R 3 -2"'
_cell_length_a 3.9117
_cell_length_b 3.9117
_cell_length_c 29.5118
_cell_angle_alpha 90.00
_cell_angle_beta 90.00
_cell_angle_gamma 120.00
loop_
_atom_site_label
_atom_site_type_symbol
_atom_site_fract_x
_atom_site_fract_y
_atom_site_fract_z
Sm1 Sm 0.0000 0.0000 0.0000
Y1 Y 0.0000 0.0000 0.2375
Y2 Y 0.0000 0.0000 0.4286
Te1 Te 0.0000 0.0000 0.8331
```

***

Which of them is the most stable? Correct choice: <a>.